--- one ---
Computed, not measured: ZnCdCo3 after structural relaxation at the PBE-GGA level of DFT.

```
5
Lattice="4.3764 0.0000 0.0000 0.0000 4.3764 0.0000 0.0000 0.0000 4.3764" Properties=species:S:1:pos:R:3 pbc="T T T"
Co 0.0000 2.1882 0.0000
Co 2.1882 0.0000 0.0000
Co 0.0000 0.0000 2.1882
Cd 2.1882 2.1882 2.1882
Zn 0.0000 0.0000 0.0000
```

Properties
Symmetry   Pm-3m
Size of the total moment   0.862 μB/atom
Density of states at the Fermi level   2.3279 states/eV per atom

--- two ---
Computed, not measured: ZnCdCo3 after structural relaxation at the PBE-GGA level of DFT.

```
5
Lattice="4.6983 0.0000 0.0000 0.0000 4.6983 0.0000 0.0000 0.0000 4.6983" Properties=species:S:1:pos:R:3 pbc="T T T"
Cd 0.0000 0.0000 0.0000
Co 0.0000 2.3491 0.0000
Co 2.3491 0.0000 0.0000
Co 0.0000 0.0000 2.3491
Zn 2.3491 2.3491 2.3491
```

Properties
Symmetry   Pm-3m
Size of the total moment   1.016 μB/atom
Density of states at the Fermi level   2.1559 states/eV per atom

one wins, 0.651 eV/atom ahead of the next structure.

--- one ---
Computed, not measured: Zn2CdCo2 after structural relaxation at the PBE-GGA level of DFT.

```
5
Lattice="-2.5001 1.8942 1.5253 -2.3997 -1.5657 -1.9888 -3.1685 -4.3344 4.1770" Properties=species:S:1:pos:R:3 pbc="T T T"
Zn -5.4636 -3.2010 2.9955
Zn -2.6047 -0.8049 0.7180
Co -4.0592 -1.1380 2.7353
Co -4.0090 -2.8680 0.9782
Cd 0.0000 0.0000 0.0000
```

Properties
Symmetry   I4/mmm
Size of the total moment   0.610 μB/atom
Density of states at the Fermi level   0.9483 states/eV per atom

--- two ---
Computed, not measured: Zn2CdCo2 after structural relaxation at the PBE-GGA level of DFT.

```
10
Lattice="7.0902 0.0000 0.0000 0.0000 7.0902 0.0000 0.0000 0.0000 2.7745" Properties=species:S:1:pos:R:3 pbc="T T T"
Zn 0.9087 2.6365 0.0000
Zn 4.4538 0.9087 0.0000
Zn 6.1816 4.4538 0.0000
Zn 2.6365 6.1816 0.0000
Co 2.3606 1.1845 1.3873
Co 1.1845 4.7296 1.3873
Co 5.9057 2.3606 1.3873
Co 4.7296 5.9057 1.3873
Cd 3.5451 3.5451 0.0000
Cd 0.0000 0.0000 0.0000
```

Properties
Symmetry   P4/mbm
Size of the total moment   0.278 μB/atom
Density of states at the Fermi level   1.2233 states/eV per atom

two wins, 0.120 eV/atom ahead of the next structure.

--- one ---
Computed, not measured: ZnCd3Co after structural relaxation at the PBE-GGA level of DFT.

```
5
Lattice="-0.2878 4.1764 2.6506 -0.5324 -2.6658 4.1426 4.9178 -0.0442 0.6036" Properties=species:S:1:pos:R:3 pbc="T T T"
Cd 2.4589 -0.0221 0.3018
Cd -0.1439 2.0882 1.3253
Cd -0.2662 -1.3329 2.0713
Zn 0.0000 0.0000 0.0000
Co 2.0488 0.7332 3.6984
```

Properties
Symmetry   Pm-3m
Size of the total moment   0.399 μB/atom
Density of states at the Fermi level   1.5036 states/eV per atom

--- two ---
Computed, not measured: ZnCd3Co after structural relaxation at the PBE-GGA level of DFT.

```
5
Lattice="4.9851 0.0000 0.0000 0.0000 4.9851 0.0000 0.0000 0.0000 4.9851" Properties=species:S:1:pos:R:3 pbc="T T T"
Cd 2.4926 0.0000 0.0000
Cd 0.0000 0.0000 2.4926
Cd 0.0000 2.4926 0.0000
Zn 2.4926 2.4926 2.4926
Co 0.0000 0.0000 0.0000
```

Properties
Symmetry   Pm-3m
Size of the total moment   0.106 μB/atom
Density of states at the Fermi level   1.0843 states/eV per atom

two wins, 0.347 eV/atom ahead of the next structure.

--- one ---
Computed, not measured: Zr4CdCo after structural relaxation at the PBE-GGA level of DFT.

```
12
Lattice="-2.0835 4.9800 -0.9164 -5.8851 -2.7888 -1.7749 -2.0810 0.3096 6.4137" Properties=species:S:1:pos:R:3 pbc="T T T"
Co -4.5039 0.0054 2.0903
Co -5.5457 2.4954 1.6321
Zr -4.8813 1.7302 4.1423
Zr -5.1683 0.7706 -0.4199
Zr -7.1797 0.4064 2.1743
Zr -2.3973 -0.3109 3.7606
Zr -2.5168 -0.9566 0.5238
Zr -5.4492 -1.5226 4.1150
Zr -2.8698 2.0944 1.5481
Zr -5.5688 -2.1683 0.8782
Cd -0.5209 1.2450 -0.2291
Cd -1.5626 3.7350 -0.6873
```

Properties
Symmetry   P4/mcc
Size of the total moment   0.000 μB/atom
Density of states at the Fermi level   1.6344 states/eV per atom

--- two ---
Computed, not measured: Zr4CdCo after structural relaxation at the PBE-GGA level of DFT.

```
6
Lattice="-0.7348 -4.6796 3.1358 0.4072 0.2802 5.6592 -4.6502 -0.5643 3.2138" Properties=species:S:1:pos:R:3 pbc="T T T"
Zr -1.6575 -1.7162 7.3419
Zr -1.8625 -1.8572 4.4931
Zr -2.2324 -4.2128 6.0716
Zr -4.2033 -2.1413 6.1109
Cd -3.7333 -3.7228 9.0066
Co 0.0000 0.0000 0.0000
```

Properties
Symmetry   F-43m
Size of the total moment   0.235 μB/atom
Density of states at the Fermi level   1.2201 states/eV per atom

--- three ---
Computed, not measured: Zr4CdCo after structural relaxation at the PBE-GGA level of DFT.

```
24
Lattice="-8.6851 1.4772 -1.2601 -5.9915 -5.8529 3.0077 -5.2028 2.1087 6.9054" Properties=species:S:1:pos:R:3 pbc="T T T"
Zr -8.0365 -0.9165 3.4981
Zr -10.3309 -3.1578 4.6499
Zr -12.9096 -3.1663 2.7096
Zr -14.4357 -0.7145 4.3803
Zr -16.4003 0.0818 6.9878
Zr -7.4642 -4.0925 3.4997
Zr -9.1530 0.5034 0.8238
Zr -13.4187 -3.4822 5.9918
Zr -10.7262 -2.7704 7.8292
Zr -11.3624 -0.3508 3.0156
Zr -10.0289 -0.1090 6.1425
Zr -15.3832 -2.6860 8.5993
Zr -12.4151 1.8255 5.1534
Zr -16.6981 -2.9245 5.5160
Zr -13.1209 -0.4760 7.4636
Zr -6.9697 0.8993 5.9434
Co -9.4928 1.1784 3.9572
Co -12.1132 -1.3814 5.2726
Co -8.3148 -2.0274 5.8237
Co -9.8378 -2.3036 2.2525
Cd -6.2012 0.1107 1.0286
Cd -5.0470 0.3200 3.7350
Cd -5.3084 -2.3188 2.4432
Cd -3.3226 -0.3789 1.4463
```

Properties
Symmetry   F-43m
Size of the total moment   0.000 μB/atom
Density of states at the Fermi level   1.5098 states/eV per atom

three wins, 0.053 eV/atom ahead of the next structure.

--- one ---
Computed, not measured: ZrCd3Co after structural relaxation at the PBE-GGA level of DFT.

```
5
Lattice="-0.7995 4.7390 -0.1155 -3.1704 -0.4475 3.5859 3.5242 0.6726 3.1997" Properties=species:S:1:pos:R:3 pbc="T T T"
Co 0.0000 0.0000 0.0000
Cd 1.7621 0.3363 1.5999
Cd -0.3998 2.3695 -0.0578
Cd -1.5852 -0.2237 1.7930
Zr -0.2229 2.4820 3.3351
```

Properties
Symmetry   Pm-3m
Size of the total moment   0.000 μB/atom
Density of states at the Fermi level   1.0731 states/eV per atom

--- two ---
Computed, not measured: ZrCd3Co after structural relaxation at the PBE-GGA level of DFT.

```
5
Lattice="5.5887 0.0000 0.0000 0.0000 5.5887 0.0000 0.0000 0.0000 5.5887" Properties=species:S:1:pos:R:3 pbc="T T T"
Cd 0.0000 2.7944 0.0000
Cd 2.7944 0.0000 0.0000
Cd 0.0000 0.0000 2.7944
Zr 0.0000 0.0000 0.0000
Co 2.7944 2.7944 2.7944
```

Properties
Symmetry   Pm-3m
Size of the total moment   0.193 μB/atom
Density of states at the Fermi level   1.2794 states/eV per atom

one wins, 0.936 eV/atom ahead of the next structure.

--- one ---
Computed, not measured: Cr3Cd after structural relaxation at the PBE-GGA level of DFT.

```
4
Lattice="-0.8979 1.6968 -2.0950 0.8577 -2.6455 -0.5832 -7.3035 -4.2499 1.6151" Properties=species:S:1:pos:R:3 pbc="T T T"
Cd 0.0000 0.0000 0.0000
Cr -3.6719 -2.5993 -0.5316
Cr -2.6079 -0.5660 -1.2678
Cr -4.7358 -4.6326 0.2046
```

Properties
Symmetry   R-3m
Size of the total moment   0.662 μB/atom
Density of states at the Fermi level   0.8052 states/eV per atom

--- two ---
Computed, not measured: Cr3Cd after structural relaxation at the PBE-GGA level of DFT.

```
8
Lattice="-4.2048 0.1860 -0.1000 -0.1693 -1.1723 4.9405 0.1996 5.1759 1.2350" Properties=species:S:1:pos:R:3 pbc="T T T"
Cd -2.1089 1.9452 3.6683
Cd -0.0631 -0.4365 1.8397
Cr -0.1029 0.1335 4.5742
Cr -1.9801 3.6823 1.4844
Cr 0.0077 3.0022 5.2587
Cr 0.0571 2.2925 1.8626
Cr -2.0691 1.3751 0.9338
Cr -2.2290 -0.7839 3.6454
```

Properties
Symmetry   Pmmn
Size of the total moment   0.000 μB/atom
Density of states at the Fermi level   0.9290 states/eV per atom

one wins, 0.070 eV/atom ahead of the next structure.

--- one ---
Computed, not measured: Cr3Cd after structural relaxation at the PBE-GGA level of DFT.

```
4
Lattice="-2.6781 -1.9461 2.9556 -3.8145 -1.8352 -1.3329 -0.4608 -4.4139 0.0080" Properties=species:S:1:pos:R:3 pbc="T T T"
Cd 0.0000 0.0000 0.0000
Cr -5.2150 -6.1464 1.2229
Cr -3.4767 -4.0976 0.8153
Cr -1.7383 -2.0488 0.4076
```

Properties
Symmetry   Fm-3m
Size of the total moment   0.937 μB/atom
Density of states at the Fermi level   0.4409 states/eV per atom

--- two ---
Computed, not measured: Cr3Cd after structural relaxation at the PBE-GGA level of DFT.

```
4
Lattice="-1.4255 0.3476 2.3236 3.3137 -1.6034 2.2728 1.8857 4.5682 0.4735" Properties=species:S:1:pos:R:3 pbc="T T T"
Cr 0.2622 2.5357 1.4066
Cr 2.3999 0.9985 1.3230
Cr 2.3291 2.7274 2.6460
Cd 0.0397 0.0963 0.0100
```

Properties
Symmetry   Pmm2
Size of the total moment   0.001 μB/atom
Density of states at the Fermi level   1.0492 states/eV per atom

--- three ---
Computed, not measured: Cr3Cd after structural relaxation at the PBE-GGA level of DFT.

```
4
Lattice="4.4224 -0.0068 0.0000 0.0030 4.4224 0.0000 0.0000 0.0000 3.1922" Properties=species:S:1:pos:R:3 pbc="T T T"
Cr 2.2127 2.2078 0.0000
Cr 0.0015 2.2112 1.5961
Cr 2.2112 -0.0034 1.5961
Cd 0.0000 0.0000 0.0000
```

Properties
Symmetry   P4/mmm
Size of the total moment   0.902 μB/atom
Density of states at the Fermi level   0.4986 states/eV per atom

--- four ---
Computed, not measured: Cr3Cd after structural relaxation at the PBE-GGA level of DFT.

```
8
Lattice="2.6488 4.8339 0.7979 -5.4169 -0.4412 1.2173 0.9834 -1.1899 3.9445" Properties=species:S:1:pos:R:3 pbc="T T T"
Cr 0.2291 0.9933 1.3797
Cr -0.4075 -0.3397 3.4106
Cr -1.3773 3.5424 2.5491
Cr -3.5511 -0.5957 4.1170
Cr 1.7663 3.7985 1.8427
Cr -2.0139 2.2095 4.5801
Cd 0.6977 2.1831 3.8961
Cd -2.4825 1.0197 2.0636
```

Properties
Symmetry   P6_3/mmc
Size of the total moment   0.000 μB/atom
Density of states at the Fermi level   0.9737 states/eV per atom

four wins, 0.017 eV/atom ahead of the next structure.

--- one ---
Computed, not measured: Cr3Cd after structural relaxation at the PBE-GGA level of DFT.

```
4
Lattice="2.9953 0.0000 0.0000 0.0000 2.9953 0.0000 0.0000 0.0000 6.6918" Properties=species:S:1:pos:R:3 pbc="T T T"
Cr 1.4976 1.4976 4.7318
Cr 1.4976 1.4976 1.9600
Cr 0.0000 0.0000 3.3459
Cd 0.0000 0.0000 0.0000
```

Properties
Symmetry   P4/mmm
Size of the total moment   0.922 μB/atom
Density of states at the Fermi level   0.4398 states/eV per atom

--- two ---
Computed, not measured: Cr3Cd after structural relaxation at the PBE-GGA level of DFT.

```
4
Lattice="5.2817 0.0000 0.0000 0.0000 5.2817 0.0000 0.0000 0.0000 5.2817" Properties=species:S:1:pos:R:3 pbc="T T T"
Cr 0.0000 2.6408 0.0000
Cr 2.6408 0.0000 0.0000
Cr 0.0000 0.0000 2.6408
Cd 0.0000 0.0000 0.0000
```

Properties
Symmetry   Pm-3m
Size of the total moment   3.517 μB/atom
Density of states at the Fermi level   0.9992 states/eV per atom

--- three ---
Computed, not measured: Cr3Cd after structural relaxation at the PBE-GGA level of DFT.

```
4
Lattice="4.3488 0.0000 0.0000 0.0000 3.0072 0.0000 2.1744 1.5036 4.1822" Properties=species:S:1:pos:R:3 pbc="T T T"
Cr 2.1744 1.5036 0.0000
Cr 4.3488 1.5036 2.3056
Cr 2.1744 3.0072 1.8766
Cd 0.0000 0.0000 0.0000
```

Properties
Symmetry   Immm
Size of the total moment   0.001 μB/atom
Density of states at the Fermi level   0.8321 states/eV per atom

--- four ---
Computed, not measured: Cr3Cd after structural relaxation at the PBE-GGA level of DFT.

```
16
Lattice="4.7247 0.0000 0.0000 0.0000 8.7770 0.0000 0.0000 0.0000 5.4346" Properties=species:S:1:pos:R:3 pbc="T T T"
Cd 4.6520 2.1942 1.9734
Cd 0.0727 6.5827 3.4612
Cd 2.4350 6.5827 4.6907
Cd 2.2897 2.1942 0.7439
Cr 3.7652 4.5389 0.5400
Cr 3.3218 4.2381 3.2572
Cr 3.3218 0.1504 3.2572
Cr 1.4029 4.5389 2.1773
Cr 2.4245 6.5827 1.8795
Cr 2.3002 2.1942 3.5550
Cr 1.4029 8.6266 2.1773
Cr 0.9595 0.1504 4.8946
Cr 0.9595 4.2381 4.8946
Cr 0.0622 6.5827 0.8378
Cr 3.7652 8.6266 0.5400
Cr 4.6625 2.1942 4.5968
```

Properties
Symmetry   Pnma
Size of the total moment   0.000 μB/atom
Density of states at the Fermi level   1.0094 states/eV per atom

one wins, 0.226 eV/atom ahead of the next structure.

--- one ---
Computed, not measured: Cr3Cd after structural relaxation at the PBE-GGA level of DFT.

```
4
Lattice="2.7680 0.0000 0.0071 0.0000 3.7438 0.0000 2.1138 0.0000 5.5850" Properties=species:S:1:pos:R:3 pbc="T T T"
Cr 2.4409 0.0000 2.7961
Cr 3.5027 1.8719 3.7946
Cr 1.3791 1.8719 1.7975
Cd 0.0000 0.0000 0.0000
```

Properties
Symmetry   P2/m
Size of the total moment   0.000 μB/atom
Density of states at the Fermi level   1.0291 states/eV per atom

--- two ---
Computed, not measured: Cr3Cd after structural relaxation at the PBE-GGA level of DFT.

```
8
Lattice="-2.4054 -4.1054 0.3468 2.0459 -1.5388 -4.0258 3.5762 -1.8811 2.5364" Properties=species:S:1:pos:R:3 pbc="T T T"
Cr 1.4794 -3.4635 2.0757
Cr 0.4216 -1.7958 -1.9262
Cr 2.2996 -1.3252 0.2618
Cr -0.7811 -3.8485 -1.7528
Cr 3.3225 -2.0946 -1.7511
Cr -0.3087 -2.5230 0.8075
Cd 1.6083 -3.7626 -0.5713
Cd 0.0000 0.0000 0.0000
```

Properties
Symmetry   Pm-3n
Size of the total moment   0.000 μB/atom
Density of states at the Fermi level   0.7373 states/eV per atom

one wins, 0.159 eV/atom ahead of the next structure.

--- one ---
Computed, not measured: Cr3Cd after structural relaxation at the PBE-GGA level of DFT.

```
4
Lattice="-1.3350 -1.5763 1.4862 -1.8751 -3.0997 -3.5194 3.7258 -1.7856 2.9052" Properties=species:S:1:pos:R:3 pbc="T T T"
Cr -1.6050 -2.3380 -1.0166
Cr 1.1954 -1.6809 2.1957
Cr 0.9254 -2.4427 -0.3071
Cd 0.0000 0.0000 0.0000
```

Properties
Symmetry   R-3m
Size of the total moment   0.000 μB/atom
Density of states at the Fermi level   0.7850 states/eV per atom

--- two ---
Computed, not measured: Cr3Cd after structural relaxation at the PBE-GGA level of DFT.

```
8
Lattice="-1.2510 -0.9027 7.0598 -5.3901 2.4784 4.1261 1.7010 -3.2979 -6.2009" Properties=species:S:1:pos:R:3 pbc="T T T"
Cr -5.8087 1.3782 9.7839
Cr 0.2250 -2.1003 0.4294
Cr -0.8324 0.1975 1.4020
Cr -1.8445 -0.4097 -1.0374
Cr -3.5048 -0.0158 1.7591
Cr -1.4353 -1.7063 3.2259
Cd -2.4800 0.5884 4.1772
Cd -4.1611 0.9873 7.0087
```

Properties
Symmetry   I4/mmm
Size of the total moment   0.914 μB/atom
Density of states at the Fermi level   0.5996 states/eV per atom

two wins, 0.141 eV/atom ahead of the next structure.